# 1
The following is a DFT calculation (PBE) of TcAgHg2 after structural relaxation.

## Properties
D(E_F)   3.30 states/eV per cell
Energy of formation   0.509 eV/atom
Magnetic moment   0.6 Bohr magnetons per cell
Electronic total energy   -2.947 eV/atom

abc: 2.8772 2.8772 9.2883
angles: 90.00 90.00 90.00
Atoms (fractional coordinates):
Tc: 0.0000 0.0000 0.0000
Ag: 0.5000 0.5000 0.2207
Hg: 0.0000 0.0000 0.4759
Hg: 0.5000 0.5000 0.7681

# 2
The following is a DFT calculation (PBE) of CsZrI3 after structural relaxation.

## Properties
D(E_F)   6.32 states/eV per cell
Magnetic moment   4.0 Bohr magnetons per cell
Formation energy from raw total energies   -0.771 eV/atom
Electronic total energy   -3.581 eV/atom

abc: 5.1369 10.4296 10.3830
angles: 90.00 104.13 90.00
Atoms (fractional coordinates):
Cs: 0.1940 0.2500 0.3851
Cs: 0.8060 0.7500 0.6149
Zr: 0.4229 0.2500 0.8492
Zr: 0.5771 0.7500 0.1508
I: 0.0122 0.7500 0.0191
I: 0.3490 0.0164 0.6996
I: 0.3490 0.4836 0.6996
I: 0.6510 0.5164 0.3004
I: 0.6510 0.9836 0.3004
I: 0.9878 0.2500 0.9809

# 3
The following is a DFT calculation (PBE) of KMgAl2Pt after structural relaxation.

## Properties
D(E_F)   2.71 states/eV per cell
Energy of formation   -0.304 eV/atom
Magnetic moment   0.0 Bohr magnetons per cell
Electronic total energy   -3.547 eV/atom

abc: 4.8820 4.8820 5.1793
angles: 90.00 90.00 90.00
Atoms (fractional coordinates):
K: 0.0000 0.0000 0.0000
Mg: 0.5000 0.5000 0.0000
Al: 0.0000 0.5000 0.5000
Al: 0.5000 0.0000 0.5000
Pt: 0.5000 0.5000 0.5000